[1]
{
  "formula": "ScCr",
  "functional": "PBEsol",
  "state": "optimized geometry",
  "lattice": [[2.9950, 0.0000, 0.0000], [-1.4975, 2.5937, 0.0000], [0.0000, 0.0000, 8.7047]],
  "species": ["Sc", "Sc", "Cr", "Cr"],
  "frac_coords": [[0.3333, 0.6667, 0.3330], [0.6667, 0.3333, 0.6670], [0.3333, 0.6667, 0.9158], [0.6667, 0.3333, 0.0842]]
}

[2]
{
  "formula": "ScCr",
  "functional": "PBEsol",
  "state": "optimized geometry",
  "lattice": [[0.0000, 3.1376, 3.1376], [3.1376, 0.0000, 3.1376], [3.1376, 3.1376, 0.0000]],
  "species": ["Sc", "Sc", "Cr", "Cr"],
  "frac_coords": [[0.1250, 0.1250, 0.1250], [0.8750, 0.8750, 0.8750], [0.3750, 0.3750, 0.3750], [0.6250, 0.6250, 0.6250]]
}

[3]
{
  "formula": "Sc2Cr",
  "functional": "PBEsol",
  "state": "optimized geometry",
  "lattice": [[3.0700, 0.0000, 0.0000], [-1.5350, 2.6587, 0.0000], [0.0000, 0.0000, 7.0382]],
  "species": ["Sc", "Sc", "Cr"],
  "frac_coords": [[0.3333, 0.6667, 0.2971], [0.6667, 0.3333, 0.7029], [0.0000, 0.0000, 0.0000]]
}

[4]
{
  "formula": "ScCr",
  "functional": "PBEsol",
  "state": "optimized geometry",
  "lattice": [[1.4845, 0.8571, 8.7360], [-1.4845, 0.8571, 8.7360], [0.0000, -1.7142, 8.7360]],
  "species": ["Sc", "Sc", "Cr", "Cr"],
  "frac_coords": [[0.1113, 0.1113, 0.1113], [0.8887, 0.8887, 0.8887], [0.3617, 0.3617, 0.3617], [0.6383, 0.6383, 0.6383]]
}

[5]
{
  "formula": "Sc2Cr",
  "functional": "PBEsol",
  "state": "optimized geometry",
  "lattice": [[1.6259, -7.4048, 0.0000], [1.6259, 7.4048, 0.0000], [0.0000, 0.0000, 4.7902]],
  "species": ["Sc", "Sc", "Sc", "Sc", "Cr", "Cr"],
  "frac_coords": [[0.0795, 0.9205, 0.7500], [0.2217, 0.7783, 0.2500], [0.7783, 0.2217, 0.7500], [0.9205, 0.0795, 0.2500], [0.4296, 0.5704, 0.7500], [0.5704, 0.4296, 0.2500]]
}

[6]
{
  "formula": "ScCr",
  "functional": "PBEsol",
  "state": "optimized geometry",
  "lattice": [[0.0000, 2.7264, 2.7264], [2.7264, 0.0000, 2.7264], [2.7264, 2.7264, 0.0000]],
  "species": ["Sc", "Cr"],
  "frac_coords": [[0.0000, 0.0000, 0.0000], [0.5000, 0.5000, 0.5000]]
}

no.,calculated formation energy (eV per atom)
1,0.4007
2,0.4882
3,0.4355
4,0.4042
5,0.2776
6,1.0597